Below is an optimized crystal structure of Cs2SnBi2, with properties calculated at the PBE-GGA level.

Energy above the most stable polymorph in this dataset, eV per atom: 0.064
DFT total energy, eV/atom: -2.931
Energy of formation, eV/atom: -0.24

a b c (Å): 8.345 8.345 6.394
angles (deg): 90.00 90.00 90.00
Positions (direct):
Cs 0.175 0.325 0.000
Cs 0.325 0.825 0.000
Cs 0.675 0.175 0.000
Cs 0.825 0.675 0.000
Sn 0.000 0.000 0.500
Sn 0.500 0.500 0.500
Bi 0.130 0.630 0.500
Bi 0.370 0.130 0.500
Bi 0.630 0.870 0.500
Bi 0.870 0.370 0.500